No. 1
## HPdO2F (SCAN)

Data for a PBEsol-optimized structure of HPdO2F.

- VASP energy: -10.164 eV per atom
- Total magnetization: 1.9 μB per cell

Cell lengths 3.913, 3.913, 2.553 Å; angles 90.00, 90.00, 90.00 degrees
Space group P4/mmm (No. 123)
Inequivalent atoms, fractional coordinates:
H1 0.000 0.000 0.000 (multiplicity 1)
Pd1 0.500 0.500 0.500 (multiplicity 1)
O1 0.000 0.500 0.000 (multiplicity 2)
F1 0.000 0.000 0.500 (multiplicity 1)

=====

No. 2
## BaHgAu2 (SCAN)

Data for a PBEsol-optimized structure of BaHgAu2.

- Total magnetization: 0.0 μB per cell
- Formation energy: -619 meV/atom

Cell lengths 8.261, 4.757, 6.069 Å; angles 90.00, 116.78, 90.00 degrees
Space group Cm (No. 8)
Inequivalent atoms, fractional coordinates:
Ba1 0.000 0.000 0.000 (multiplicity 2)
Hg1 0.293 0.500 0.379 (multiplicity 2)
Au1 0.026 0.500 0.579 (multiplicity 2)
Au2 0.211 0.000 0.633 (multiplicity 2)

=====

No. 3
## Al2ZnIr2 (SCAN)

Data for a PBEsol-optimized structure of Al2ZnIr2.

- Total magnetization: 0.0 μB per cell
- Formation energy: -802 meV/atom

Cell lengths 7.079, 7.079, 2.906 Å; angles 90.00, 90.00, 90.00 degrees
Space group P4/mbm (No. 127)
Inequivalent atoms, fractional coordinates:
Al1 0.144 0.356 0.000 (multiplicity 4)
Zn1 0.000 0.000 0.500 (multiplicity 2)
Ir1 0.153 0.653 0.500 (multiplicity 4)

=====

No. 4
## MnGaSb2I (SCAN)

Data for a PBEsol-optimized structure of MnGaSb2I.

- VASP energy: -28.863 eV per atom
- Total magnetization: 2.7 μB per cell

Cell lengths 4.927, 4.927, 5.820 Å; angles 90.00, 90.00, 90.00 degrees
Space group P4/mmm (No. 123)
Inequivalent atoms, fractional coordinates:
Mn1 0.000 0.000 0.000 (multiplicity 1)
Ga1 0.500 0.500 0.500 (multiplicity 1)
Sb1 0.000 0.500 0.000 (multiplicity 2)
I1 0.000 0.000 0.500 (multiplicity 1)

=====

No. 5
## Li2ZrTc (SCAN)

Data for a PBEsol-optimized structure of Li2ZrTc.

- Total magnetization: 0.0 μB per cell
- Formation energy: 343 meV/atom

Cell lengths 2.7220, 2.7220, 30.8841 Å; angles 90.00, 90.00, 120.00 degrees
Space group R-3m (No. 166, hexagonal axes)
Inequivalent atoms, fractional coordinates:
Li1 0.0000 0.0000 0.2413 (multiplicity 6)
Zr1 0.0000 0.0000 0.0000 (multiplicity 3)
Tc1 0.0000 0.0000 0.5000 (multiplicity 3)

=====

No. 6
## BaBeAu3 (SCAN)

Data for a PBEsol-optimized structure of BaBeAu3.

- Total magnetization: 0.0 μB per cell
- Formation energy: -578 meV/atom

Cell lengths 4.709, 4.709, 4.709 Å; angles 90.00, 90.00, 90.00 degrees
Space group Pm-3m (No. 221)
Inequivalent atoms, fractional coordinates:
Ba1 0.000 0.000 0.000 (multiplicity 1)
Be1 0.500 0.500 0.500 (multiplicity 1)
Au1 0.000 0.500 0.500 (multiplicity 3)

=====

No. 7
## AgHgSe2 (SCAN)

Data for a PBEsol-optimized structure of AgHgSe2.

- VASP energy: -34.691 eV per atom
- Total magnetization: 0.0 μB per cell

Cell lengths 2.9552, 2.9552, 33.9832 Å; angles 90.00, 90.00, 120.00 degrees
Space group R-3m (No. 166, hexagonal axes)
Inequivalent atoms, fractional coordinates:
Ag1 0.0000 0.0000 0.0000 (multiplicity 3)
Hg1 0.0000 0.0000 0.5000 (multiplicity 3)
Se1 0.0000 0.0000 0.0739 (multiplicity 6)

=====

No. 8
## Y2MnCl (SCAN)

Data for a PBEsol-optimized structure of Y2MnCl.

- VASP energy: -20.715 eV per atom
- Total magnetization: 15.7 μB per cell

Cell lengths 7.060, 7.060, 7.060 Å; angles 90.00, 90.00, 90.00 degrees
Space group Fm-3m (No. 225)
Inequivalent atoms, fractional coordinates:
Y1 0.250 0.250 0.250 (multiplicity 8)
Mn1 0.000 0.000 0.000 (multiplicity 4)
Cl1 0.000 0.000 0.500 (multiplicity 4)